2
Lattice="-0.984 2.135 2.132 2.181 -2.093 0.970 3.250 2.788 -1.291" Properties=species:S:1:pos:R:3 comment="PBE TeW, optimized geometry" total_energy_ev_per_atom=-6.794 crystal_system=orthorhombic pbc="T T T"
W 2.223 1.415 0.906
Te 0.000 0.000 0.000

=====

6
Lattice="1.699 6.896 -0.027 -1.699 6.896 -0.027 0.000 2.990 6.176" Properties=species:S:1:pos:R:3 comment="PBE TeW, optimized geometry" total_energy_ev_per_atom=-7.627 crystal_system=monoclinic pbc="T T T"
W 0.000 10.822 0.512
W 0.000 2.549 1.882
Te 0.000 7.005 4.381
Te 0.000 10.612 3.719
W 0.000 5.332 2.098
Te 0.000 13.833 0.620

=====

6
Lattice="1.590 5.852 0.121 -1.590 5.852 0.121 0.000 2.924 6.343" Properties=species:S:1:pos:R:3 comment="PBE TeW2, optimized geometry" total_energy_ev_per_atom=-9.121 crystal_system=monoclinic pbc="T T T"
W 0.000 11.739 1.770
W 0.000 7.221 6.376
Te 0.000 5.660 4.061
W 0.000 2.890 4.816
Te 0.000 8.969 2.525
W 0.000 7.408 0.210

=====

Number 1 is which compound? TeW